The following is a PBE calculation of a relaxed Tl7InPb3 crystal, from the Alexandria database.

Structure (extended XYZ):
```
22
Lattice="1.738 -12.951 0.000 1.738 12.951 0.000 0.000 0.000 15.534" Properties=species:S:1:pos:R:3 pbc="T T T"
Tl 1.738 12.333 9.565
Tl 1.738 12.333 13.736
Tl 1.738 9.560 3.884
Tl 1.738 8.901 9.141
Tl 1.738 8.901 14.160
Tl 1.738 5.515 9.122
Tl 1.738 5.515 14.180
Tl 1.738 -5.515 1.355
Tl 1.738 -5.515 6.412
Tl 1.738 -8.901 1.374
Tl 1.738 -8.901 6.393
Tl 1.738 -9.560 11.651
Tl 1.738 -12.333 1.798
Tl 1.738 -12.333 5.969
In 1.738 2.596 3.884
In 1.738 -2.596 11.651
Pb 1.738 5.922 3.884
Pb 1.738 2.183 8.843
Pb 1.738 2.183 14.458
Pb 1.738 -2.183 1.076
Pb 1.738 -2.183 6.691
Pb 1.738 -5.922 11.651
```

Output
Energy above the most stable polymorph in this dataset: 0.000 eV/atom
ΔH_f (0 K): 38 meV per atom

=====

The following is a PBE calculation of a relaxed Y2BiPd2 crystal, from the Alexandria database.

Structure (extended XYZ):
```
5
Lattice="-2.696 2.696 4.367 2.696 -2.696 4.367 2.696 2.696 -4.367" Properties=species:S:1:pos:R:3 pbc="T T T"
Y 2.696 0.000 2.183
Y 0.000 2.696 2.183
Bi 0.000 0.000 0.000
Pd 0.000 0.000 3.104
Pd 0.000 0.000 5.630
```

Output
Energy above the most stable polymorph in this dataset: 0.241 eV/atom
ΔH_f (0 K): -644 meV per atom

=====

The following is a PBE calculation of a relaxed Na3Tl3BiO8 crystal, from the Alexandria database.

Structure (extended XYZ):
```
15
Lattice="3.444 1.989 5.680 -3.444 1.989 5.680 0.000 -3.977 5.680" Properties=species:S:1:pos:R:3 pbc="T T T"
Na -1.722 -0.994 5.680
Na -1.722 0.994 11.360
Na 0.000 1.989 5.680
Tl -3.444 0.000 8.520
Tl -1.722 0.994 2.840
Tl 1.722 0.994 2.840
Bi 0.000 0.000 8.520
O 0.000 0.000 4.045
O -1.601 -0.924 9.724
O 0.000 -1.849 7.316
O -1.601 0.924 7.316
O 1.601 -0.924 9.724
O 0.000 1.849 9.724
O 1.601 0.924 7.316
O 0.000 0.000 12.995
```

Output
Uncorrected energy: -4.678 eV per atom

=====

The following is a PBE calculation of a relaxed Na3Pa2InTe6 crystal, from the Alexandria database.

Structure (extended XYZ):
```
12
Lattice="9.801 -2.226 0.000 9.801 2.226 0.000 -1.816 0.000 9.204" Properties=species:S:1:pos:R:3 pbc="T T T"
Na 0.000 0.000 0.000
Na 5.560 0.000 6.028
Na 12.226 0.000 3.176
Pa 6.252 0.000 1.464
Pa 11.534 0.000 7.740
In -0.908 0.000 4.602
Te 3.202 0.000 0.721
Te 2.279 0.000 5.662
Te 9.118 0.000 2.176
Te 8.669 0.000 7.028
Te 15.508 0.000 3.542
Te 14.585 0.000 8.483
```

Output
Uncorrected energy: -4.515 eV per atom

=====

The following is a PBE calculation of a relaxed CaLaAu2 crystal, from the Alexandria database.

Structure (extended XYZ):
```
4
Lattice="4.779 0.000 0.000 0.000 2.014 5.593 0.000 -2.014 5.593" Properties=species:S:1:pos:R:3 pbc="T T T"
Ca 0.000 0.000 0.000
La 2.389 0.000 8.140
Au 0.000 0.000 3.091
Au 2.389 0.000 5.014
```

Output
ΔH_f (0 K): -821 meV per atom

=====

The following is a PBE calculation of a relaxed HfTlS2 crystal, from the Alexandria database.

Structure (extended XYZ):
```
4
Lattice="1.914 1.105 8.272 -1.914 1.105 8.272 0.000 -2.210 8.272" Properties=species:S:1:pos:R:3 pbc="T T T"
Hf 0.000 0.000 0.000
Tl 0.000 0.000 12.409
S 0.000 0.000 2.369
S 0.000 0.000 22.448
```

Output
Uncorrected energy: -5.261 eV per atom

=====

The following is a PBE calculation of a relaxed InAg4 crystal, from the Alexandria database.

Structure (extended XYZ):
```
5
Lattice="-1.962 1.962 6.924 1.962 -1.962 6.924 1.962 1.962 -6.924" Properties=species:S:1:pos:R:3 pbc="T T T"
In 0.000 0.000 0.000
Ag 1.962 0.000 3.462
Ag 0.000 0.000 5.554
Ag 0.000 0.000 8.295
Ag 0.000 1.962 3.462
```

Output
ΔH_f (0 K): 153 meV per atom

=====

The following is a PBE calculation of a relaxed LiAu2O crystal, from the Alexandria database.

Structure (extended XYZ):
```
8
Lattice="-2.528 2.528 6.813 2.528 -2.528 6.813 2.528 2.528 -6.813" Properties=species:S:1:pos:R:3 pbc="T T T"
Li 0.000 0.000 0.000
Li 0.000 2.528 3.407
Au 1.264 -0.582 5.110
Au 1.946 1.264 1.703
Au 1.264 3.110 -1.703
Au 0.582 1.264 8.516
O 2.528 0.000 3.407
O 0.000 0.000 6.813
```

Output
Uncorrected energy: -3.285 eV per atom